No. 1
VASP calculation (PBE-GGA) on an optimized crystal structure of DyTm4In5.

## Properties
Its formation enthalpy at 0 K is -41.7 kJ per mole of atoms.

Structure (POSCAR):
```
DyTm4In5
1.0
3.6934 0.0000 0.0000
0.0000 3.6934 0.0000
0.0000 0.0000 18.9881
Dy Tm In
1 4 5
Cartesian
0.0000 0.0000 0.0000
0.0000 0.0000 3.8389
0.0000 0.0000 7.6111
0.0000 0.0000 11.3770
0.0000 0.0000 15.1493
1.8467 1.8467 1.9516
1.8467 1.8467 5.7265
1.8467 1.8467 9.4941
1.8467 1.8467 13.2616
1.8467 1.8467 17.0365
```

=====

No. 2
VASP calculation (PBE-GGA) on an optimized crystal structure of DyTm4In4.

## Properties
Its formation enthalpy at 0 K is -11.4 kJ per mole of atoms.

Structure (POSCAR):
```
DyTm4In4
1.0
7.1280 0.0000 0.0000
0.0000 7.1280 0.0000
0.0000 0.0000 10.4929
Dy Tm In
2 8 8
Cartesian
0.0000 0.0000 0.0000
3.5640 3.5640 5.2464
1.6373 3.5640 9.6085
5.4907 3.5640 9.6085
3.5640 5.4907 0.8844
3.5640 1.6373 0.8844
0.0000 5.2013 4.3621
0.0000 1.9267 4.3621
1.9267 0.0000 6.1308
5.2013 0.0000 6.1308
3.5640 5.5711 8.2473
3.5640 1.5569 8.2473
5.5711 3.5640 2.2456
1.5569 3.5640 2.2456
2.0071 0.0000 3.0008
5.1209 0.0000 3.0008
0.0000 2.0071 7.4921
0.0000 5.1209 7.4921
```

=====

No. 3
VASP calculation (PBE-GGA) on an optimized crystal structure of Dy3Tm3In2.

## Properties
Its formation enthalpy at 0 K is -14.4 kJ per mole of atoms. The calculation puts the energy above the lowest structure with this stoichiometry at 0.113 eV/atom.

Structure (POSCAR):
```
Dy3Tm3In2
1.0
-1.9749 -2.1706 -4.2179
5.2107 -2.9719 2.2194
-9.0258 -9.1520 8.9360
Dy Tm In
6 6 4
Cartesian
-4.0156 -6.5435 2.1178
-5.7361 -11.7681 8.7420
-0.0539 -2.5263 -1.8045
-1.7744 -7.7510 4.8196
1.6944 -6.0834 2.3373
-7.4844 -8.2110 4.6002
-0.7035 -8.4463 1.5463
-7.7528 -8.5516 8.0310
1.9628 -5.7428 -1.0935
-5.0865 -5.8481 5.3912
-1.1268 -5.4071 0.1804
-4.6632 -8.8873 6.7571
-6.3628 -11.1661 5.5958
-1.3289 -5.0567 3.2245
-4.4611 -9.2378 3.7130
0.5728 -3.1283 1.3417
```

=====

No. 4
VASP calculation (PBE-GGA) on an optimized crystal structure of Dy12TmIn3.

## Properties
Its formation enthalpy at 0 K is -18.6 kJ per mole of atoms.

Structure (POSCAR):
```
Dy12TmIn3
1.0
-4.3302 -1.9891 0.9321
-0.2875 -1.5294 -4.5994
8.8459 -16.8855 5.0619
Dy Tm In
12 1 3
Cartesian
-2.3089 -1.7592 -1.8336
-0.0630 -6.0464 -0.5484
2.1140 -10.2020 0.6973
4.2910 -14.3576 1.9431
-1.0197 -3.1809 1.1215
1.1671 -7.3553 2.3729
3.3485 -11.5192 3.6211
5.5353 -15.6937 4.8725
1.0016 -2.9511 -1.6443
3.1885 -7.1255 -0.3929
5.3698 -11.2894 0.8554
7.5567 -15.4639 2.1068
0.0000 0.0000 0.0000
2.2616 -4.3171 1.2942
4.4229 -8.4428 2.5309
6.5842 -12.5684 3.7677
```

=====

No. 5
VASP calculation (PBE-GGA) on an optimized crystal structure of DyTm6In6.

## Properties
Its formation enthalpy at 0 K is -28.1 kJ per mole of atoms.

Structure (POSCAR):
```
DyTm6In6
1.0
-1.7886 4.4144 -3.9620
-4.2422 -3.3188 3.0613
0.1166 7.1228 7.8834
Dy Tm In
1 6 6
Cartesian
0.0000 0.0000 0.0000
0.0768 4.6908 5.1918
0.0398 2.4320 2.6917
-3.4244 -0.7411 0.7202
-2.6065 1.8366 -1.6209
-3.3660 2.8203 4.6619
-2.5482 5.3980 2.3209
-2.0331 3.7144 7.4784
-0.8063 7.5810 3.9668
-2.9274 5.9216 5.4974
-0.8657 3.9561 -0.0453
-2.0925 0.0895 3.4664
-2.9868 2.2967 1.4854
```

=====

No. 6
VASP calculation (PBE-GGA) on an optimized crystal structure of Dy5Tm2In5.

## Properties
Its formation enthalpy at 0 K is -29.2 kJ per mole of atoms.

Structure (POSCAR):
```
Dy5Tm2In5
1.0
5.0781 0.0000 0.0000
-2.5390 5.9386 -0.3190
0.0000 -3.4983 11.3017
Dy Tm In
5 2 5
Cartesian
2.5390 -1.7492 5.6509
2.5391 -1.6878 11.1991
2.5391 0.6187 3.0180
0.0000 1.8216 7.9647
0.0000 4.1281 -0.2163
0.0000 -1.7625 8.5116
2.5390 4.2027 2.4711
0.0000 0.3502 5.1419
2.5390 0.0746 8.6139
0.0000 2.3657 2.3688
2.5391 2.0901 5.8408
0.0000 0.0000 0.0000
```